Arrangement a

{
  "formula": "MgMo3",
  "functional": "meta-GGA SCAN",
  "state": "PBEsol geometry",
  "space_group": "Fm-3m, No. 225",
  "density_g_cm3": 8.32,
  "dos_ef_per_ev_cell": 4.05,
  "crystal_system": "cubic",
  "lattice": [[0.000, 3.147, 3.147], [3.147, 0.000, 3.147], [3.147, 3.147, 0.000]],
  "species": ["Mg", "Mo", "Mo", "Mo"],
  "fractional_positions": [[0.000, 0.000, 0.000], [0.250, 0.250, 0.250], [0.500, 0.500, 0.500], [0.750, 0.750, 0.750]]
}

=====

Arrangement b

{
  "formula": "MgMo3",
  "functional": "meta-GGA SCAN",
  "state": "PBEsol geometry",
  "space_group": "P4/mmm, No. 123",
  "density_g_cm3": 8.05,
  "dos_ef_per_ev_cell": 2.97,
  "crystal_system": "tetragonal",
  "lattice": [[2.633, 0.000, 0.000], [0.000, 2.633, 0.000], [0.000, 0.000, 9.289]],
  "species": ["Mg", "Mo", "Mo", "Mo"],
  "fractional_positions": [[0.000, 0.000, 0.000], [0.000, 0.000, 0.500], [0.500, 0.500, 0.254], [0.500, 0.500, 0.746]]
}

=====

The most stable of them is arrangement a.

=====

Arrangement a

{
  "formula": "Mg3MoN4",
  "functional": "meta-GGA SCAN",
  "state": "PBEsol geometry",
  "space_group": "C2/m, No. 12",
  "density_g_cm3": 3.86,
  "dos_ef_per_ev_cell": 0.00,
  "crystal_system": "monoclinic",
  "lattice": [[4.491, -3.566, 0.000], [4.491, 3.566, 0.000], [-0.032, 0.000, 6.039]],
  "species": ["Mg", "Mg", "Mg", "Mg", "Mg", "Mg", "Mo", "Mo", "N", "N", "N", "N", "N", "N", "N", "N"],
  "fractional_positions": [[0.114, 0.114, 0.324], [0.148, 0.614, 0.168], [0.386, 0.852, 0.832], [0.614, 0.148, 0.168], [0.852, 0.386, 0.832], [0.886, 0.886, 0.676], [0.335, 0.335, 0.669], [0.665, 0.665, 0.331], [0.126, 0.126, 0.680], [0.151, 0.601, 0.820], [0.360, 0.360, 0.366], [0.399, 0.849, 0.180], [0.601, 0.151, 0.820], [0.640, 0.640, 0.634], [0.849, 0.399, 0.180], [0.874, 0.874, 0.320]]
}

=====

Arrangement b

{
  "formula": "Mg3MoN4",
  "functional": "meta-GGA SCAN",
  "state": "PBEsol geometry",
  "space_group": "Pmn2_1, No. 31",
  "density_g_cm3": 3.66,
  "dos_ef_per_ev_cell": 0.00,
  "crystal_system": "orthorhombic",
  "lattice": [[6.732, 0.000, 0.000], [0.000, 5.821, 0.000], [0.000, 0.000, 5.206]],
  "species": ["Mg", "Mg", "Mg", "Mg", "Mg", "Mg", "Mo", "Mo", "N", "N", "N", "N", "N", "N", "N", "N"],
  "fractional_positions": [[0.000, 0.161, 0.000], [0.248, 0.331, 0.501], [0.252, 0.669, 0.001], [0.500, 0.839, 0.500], [0.748, 0.669, 0.001], [0.752, 0.331, 0.501], [0.000, 0.829, 0.510], [0.500, 0.171, 0.010], [0.000, 0.134, 0.405], [0.000, 0.827, 0.863], [0.230, 0.678, 0.404], [0.270, 0.322, 0.904], [0.500, 0.173, 0.363], [0.500, 0.866, 0.905], [0.730, 0.322, 0.904], [0.770, 0.678, 0.404]]
}

=====

The most stable of them is arrangement b.

=====

Arrangement a

{
  "formula": "MgSbMo2",
  "functional": "meta-GGA SCAN",
  "state": "PBEsol geometry",
  "space_group": "I4/mmm, No. 139",
  "density_g_cm3": 8.24,
  "dos_ef_per_ev_cell": 2.80,
  "crystal_system": "tetragonal",
  "lattice": [[-1.967, 1.967, 4.401], [1.967, -1.967, 4.401], [1.967, 1.967, -4.401]],
  "species": ["Mg", "Sb", "Mo", "Mo"],
  "fractional_positions": [[0.000, 0.000, 0.000], [0.500, 0.500, 0.000], [0.250, 0.750, 0.500], [0.750, 0.250, 0.500]]
}

=====

Arrangement b

{
  "formula": "MgSbMo2",
  "functional": "meta-GGA SCAN",
  "state": "PBEsol geometry",
  "space_group": "Cmmm, No. 65",
  "density_g_cm3": 7.90,
  "dos_ef_per_ev_cell": 2.34,
  "crystal_system": "orthorhombic",
  "lattice": [[1.685, -2.362, 0.000], [1.685, 2.362, 0.000], [0.000, 0.000, 8.919]],
  "species": ["Mg", "Sb", "Mo", "Mo"],
  "fractional_positions": [[0.000, 0.000, 0.000], [0.000, 0.000, 0.500], [0.500, 0.500, 0.259], [0.500, 0.500, 0.741]]
}

=====

Arrangement c

{
  "formula": "MgSbMo2",
  "functional": "meta-GGA SCAN",
  "state": "PBEsol geometry",
  "space_group": "C2/m, No. 12",
  "density_g_cm3": 8.08,
  "dos_ef_per_ev_cell": 1.94,
  "crystal_system": "monoclinic",
  "lattice": [[4.730, -1.641, 0.000], [4.730, 1.641, 0.000], [-1.108, 0.000, 4.472]],
  "species": ["Mg", "Sb", "Mo", "Mo"],
  "fractional_positions": [[0.000, 0.000, 0.000], [0.500, 0.500, 0.500], [0.249, 0.249, 0.773], [0.751, 0.751, 0.227]]
}

=====

The most stable of them is arrangement c.

=====

Arrangement a

{
  "formula": "Mg2TcMo",
  "functional": "meta-GGA SCAN",
  "state": "PBEsol geometry",
  "space_group": "P2/m, No. 10",
  "density_g_cm3": 6.31,
  "dos_ef_per_ev_cell": 2.28,
  "crystal_system": "monoclinic",
  "lattice": [[2.668, 0.000, 0.000], [0.000, 4.610, 0.000], [-1.178, 0.000, 5.188]],
  "species": ["Mg", "Mg", "Tc", "Mo"],
  "fractional_positions": [[0.032, 0.000, 0.254], [0.968, 0.000, 0.746], [0.500, 0.500, 0.500], [0.500, 0.500, 0.000]]
}

=====

Arrangement b

{
  "formula": "Mg2TcMo",
  "functional": "meta-GGA SCAN",
  "state": "PBEsol geometry",
  "space_group": "P4mm, No. 99",
  "density_g_cm3": 5.83,
  "dos_ef_per_ev_cell": 2.35,
  "crystal_system": "tetragonal",
  "lattice": [[3.135, 0.000, 0.000], [0.000, 3.135, 0.000], [0.000, 0.000, 7.031]],
  "species": ["Mg", "Mg", "Tc", "Mo"],
  "fractional_positions": [[0.000, 0.000, 0.000], [0.500, 0.500, 0.303], [0.500, 0.500, 0.746], [0.000, 0.000, 0.569]]
}

=====

The most stable of them is arrangement b.

=====

Arrangement a

{
  "formula": "MgTlMo2",
  "functional": "meta-GGA SCAN",
  "state": "PBEsol geometry",
  "space_group": "P4/mmm, No. 123",
  "density_g_cm3": 10.16,
  "dos_ef_per_ev_cell": 2.89,
  "crystal_system": "tetragonal",
  "lattice": [[3.892, 0.000, 0.000], [0.000, 3.892, 0.000], [0.000, 0.000, 4.538]],
  "species": ["Mg", "Tl", "Mo", "Mo"],
  "fractional_positions": [[0.000, 0.000, 0.000], [0.500, 0.500, 0.000], [0.000, 0.500, 0.500], [0.500, 0.000, 0.500]]
}

=====

Arrangement b

{
  "formula": "MgTlMo2",
  "functional": "meta-GGA SCAN",
  "state": "PBEsol geometry",
  "space_group": "Cm, No. 8",
  "density_g_cm3": 9.95,
  "dos_ef_per_ev_cell": 2.57,
  "crystal_system": "monoclinic",
  "lattice": [[4.718, -1.411, 0.000], [4.718, 1.411, 0.000], [-0.422, 0.000, 5.271]],
  "species": ["Mg", "Tl", "Mo", "Mo"],
  "fractional_positions": [[0.000, 0.000, 0.000], [0.250, 0.250, 0.762], [0.507, 0.507, 0.476], [0.749, 0.749, 0.270]]
}

=====

The most stable of them is arrangement a.

=====

Arrangement a

{
  "formula": "MgTl2Mo",
  "functional": "meta-GGA SCAN",
  "state": "PBEsol geometry",
  "space_group": "C2/m, No. 12",
  "density_g_cm3": 10.69,
  "dos_ef_per_ev_cell": 3.03,
  "crystal_system": "monoclinic",
  "lattice": [[3.130, -4.791, 0.000], [3.130, 4.791, 0.000], [-1.313, 0.000, 2.740]],
  "species": ["Mg", "Tl", "Tl", "Mo"],
  "fractional_positions": [[0.000, 0.000, 0.000], [0.000, 0.500, 0.500], [0.500, 0.000, 0.500], [0.500, 0.500, 0.000]]
}

=====

Arrangement b

{
  "formula": "MgTl2Mo",
  "functional": "meta-GGA SCAN",
  "state": "PBEsol geometry",
  "space_group": "I4/mmm, No. 139",
  "density_g_cm3": 11.21,
  "dos_ef_per_ev_cell": 0.95,
  "crystal_system": "tetragonal",
  "lattice": [[-2.100, 2.100, 4.444], [2.100, -2.100, 4.444], [2.100, 2.100, -4.444]],
  "species": ["Mg", "Tl", "Tl", "Mo"],
  "fractional_positions": [[0.000, 0.000, 0.000], [0.250, 0.750, 0.500], [0.750, 0.250, 0.500], [0.500, 0.500, 0.000]]
}

=====

The most stable of them is arrangement b.

=====

Arrangement a

{
  "formula": "MgTlSe2N",
  "functional": "meta-GGA SCAN",
  "state": "PBEsol geometry",
  "space_group": "P4/mmm, No. 123",
  "density_g_cm3": 5.49,
  "dos_ef_per_ev_cell": 1.21,
  "crystal_system": "tetragonal",
  "lattice": [[5.391, 0.000, 0.000], [0.000, 5.391, 0.000], [0.000, 0.000, 4.174]],
  "species": ["Mg", "Tl", "Se", "Se", "N"],
  "fractional_positions": [[0.000, 0.000, 0.000], [0.500, 0.500, 0.500], [0.000, 0.500, 0.500], [0.500, 0.000, 0.500], [0.500, 0.500, 0.000]]
}

=====

Arrangement b

{
  "formula": "MgTlSe2N",
  "functional": "meta-GGA SCAN",
  "state": "PBEsol geometry",
  "space_group": "P4/mmm, No. 123",
  "density_g_cm3": 6.10,
  "dos_ef_per_ev_cell": 3.18,
  "crystal_system": "tetragonal",
  "lattice": [[5.210, 0.000, 0.000], [0.000, 5.210, 0.000], [0.000, 0.000, 4.018]],
  "species": ["Mg", "Tl", "Se", "Se", "N"],
  "fractional_positions": [[0.000, 0.000, 0.000], [0.500, 0.500, 0.500], [0.000, 0.500, 0.000], [0.500, 0.000, 0.000], [0.000, 0.000, 0.500]]
}

=====

The most stable of them is arrangement b.

=====

Arrangement a

{
  "formula": "Mg3TlN",
  "functional": "meta-GGA SCAN",
  "state": "PBEsol geometry",
  "space_group": "Pm-3m, No. 221",
  "density_g_cm3": 5.82,
  "dos_ef_per_ev_cell": 1.40,
  "crystal_system": "cubic",
  "lattice": [[4.363, 0.000, 0.000], [0.000, 4.363, 0.000], [0.000, 0.000, 4.363]],
  "species": ["Mg", "Mg", "Mg", "Tl", "N"],
  "fractional_positions": [[0.000, 0.000, 0.500], [0.000, 0.500, 0.000], [0.500, 0.000, 0.000], [0.500, 0.500, 0.500], [0.000, 0.000, 0.000]]
}

=====

Arrangement b

{
  "formula": "Mg3TlN",
  "functional": "meta-GGA SCAN",
  "state": "PBEsol geometry",
  "space_group": "Pm-3m, No. 221",
  "density_g_cm3": 3.36,
  "dos_ef_per_ev_cell": 1.85,
  "crystal_system": "cubic",
  "lattice": [[5.242, 0.000, 0.000], [0.000, 5.242, 0.000], [0.000, 0.000, 5.242]],
  "species": ["Mg", "Mg", "Mg", "Tl", "N"],
  "fractional_positions": [[0.000, 0.000, 0.500], [0.000, 0.500, 0.000], [0.500, 0.000, 0.000], [0.000, 0.000, 0.000], [0.500, 0.500, 0.500]]
}

=====

The most stable of them is arrangement a.